NdZn2Cd9 | the Alexandria database | PBE | relaxed; formation enthalpy at 0 K = -102 meV per atom; electronic total energy = -1.398 eV/atom; symmetry = I4_1/amd (141); crystal system = tetragonal; calculated volume = 522.80 Å³/cell
1.0
-5.8865 5.8865 3.7719
5.8865 -5.8865 3.7719
5.8865 5.8865 -3.7719
Nd Zn Cd
2 4 18
direct
0.3750 0.6250 0.7500
0.6250 0.3750 0.2500
0.0000 0.0000 0.0000
0.0000 0.0000 0.5000
0.0000 0.5000 0.0000
0.5000 0.0000 0.5000
0.1206 0.5528 0.3255
0.1206 0.7952 0.5679
0.1250 0.8750 0.2500
0.2048 0.2727 0.3255
0.2048 0.8794 0.9321
0.2727 0.2048 0.8255
0.2727 0.4472 0.0679
0.4472 0.2727 0.5679
0.4472 0.8794 0.1745
0.5528 0.1206 0.8255
0.5528 0.7273 0.4321
0.7273 0.5528 0.9321
0.7273 0.7952 0.1745
0.7952 0.1206 0.0679
0.7952 0.7273 0.6745
0.8750 0.1250 0.7500
0.8794 0.2048 0.4321
0.8794 0.4472 0.6745